# 1
Below is crystalline NbZnHRh2 at its relaxed geometry, with properties calculated at the PBE level.

As for the energy above the most stable polymorph in this dataset: 0.0 meV per atom. Its density of states at the Fermi level is 0.759 states/eV per atom.

The structure belongs to space group P4/mmm (No. 123); the cell edges are 3.999, 3.999 and 3.940 Å and the angles 90.00°, 90.00° and 90.00°. The asymmetric unit holds Nb at (0.000, 0.000, 0.000), Zn at (0.500, 0.500, 0.000), H at (0.000, 0.000, 0.500) and Rh at (0.000, 0.500, 0.500).



# 2
Below is crystalline ZrNb2HRh at its relaxed geometry, with properties calculated at the PBE level.

As for the energy above the most stable polymorph in this dataset: 4.3 meV per atom. Its density of states at the Fermi level is 0.766 states/eV per atom.

The structure belongs to space group P4/mmm (No. 123); the cell edges are 3.945, 3.945 and 4.873 Å and the angles 90.00°, 90.00° and 90.00°. The asymmetric unit holds Zr at (0.000, 0.000, 0.000), Nb at (0.000, 0.500, 0.500), H at (0.500, 0.500, 0.500) and Rh at (0.500, 0.500, 0.000).



# 3
Below is crystalline ZrNb2HRh at its relaxed geometry, with properties calculated at the PBE level.

As for the energy above the most stable polymorph in this dataset: 0.0 meV per atom. Its density of states at the Fermi level is 1.090 states/eV per atom.

The structure belongs to space group P4/mmm (No. 123); the cell edges are 3.962, 3.962 and 4.825 Å and the angles 90.00°, 90.00° and 90.00°. The asymmetric unit holds Zr at (0.000, 0.000, 0.000), Nb at (0.000, 0.500, 0.500), H at (0.000, 0.000, 0.500) and Rh at (0.500, 0.500, 0.000).



# 4
Below is crystalline NbH2Ru at its relaxed geometry, with properties calculated at the PBE level.

As for the energy above the most stable polymorph in this dataset: 88.4 meV per atom. Its density of states at the Fermi level is 0.550 states/eV per atom.

The structure belongs to space group P2_1/m (No. 11); the cell edges are 2.963, 4.359 and 5.898 Å and the angles 90.00°, 104.45° and 90.00°. The asymmetric unit holds Nb at (0.169, 0.250, 0.337), H at (0.002, 0.750, 0.003), H at (0.198, 0.750, 0.396) and Ru at (0.423, 0.250, 0.846).